[1]
Material: KTaSb
Method: DFT, PBE-GGA
State: relaxed

Calculated values
ΔE to the lowest computed polymorph: 1938 meV/atom
E_form (uncorrected): 1.84 eV/atom

CIF file:
```
data_KTaSb
_cell_length_a 7.255
_cell_length_b 7.255
_cell_length_c 7.255
_cell_angle_alpha 90.00
_cell_angle_beta 90.00
_cell_angle_gamma 90.00
_space_group_name_H-M_alt 'F -4 3 m'
_space_group_IT_number 216
_space_group_name_Hall 'F -4 2 3'
loop_
_atom_site_label
_atom_site_type_symbol
_atom_site_fract_x
_atom_site_fract_y
_atom_site_fract_z
K1 K 0.000 0.000 0.000
Ta1 Ta 0.250 0.250 0.750
Sb1 Sb 0.250 0.250 0.250
```



[2]
Material: Ni2W3
Method: DFT, PBE-GGA
State: relaxed

Calculated values
ΔE to the lowest computed polymorph: 0 meV/atom
energy relative to the elements: 0.1760 eV per atom

CIF file:
```
data_Ni2W3
_cell_length_a 9.387
_cell_length_b 13.083
_cell_length_c 4.627
_cell_angle_alpha 90.00
_cell_angle_beta 90.00
_cell_angle_gamma 90.00
_space_group_name_H-M_alt 'F d d 2'
_space_group_IT_number 43
_space_group_name_Hall 'F 2 -2d'
loop_
_atom_site_label
_atom_site_type_symbol
_atom_site_fract_x
_atom_site_fract_y
_atom_site_fract_z
Ni1 Ni 0.025 0.295 0.000
W1 W 0.000 0.000 0.453
W2 W 0.045 0.394 0.469
```



[3]
Material: Ba2HoTa3O12
Method: DFT, PBE-GGA
State: relaxed

Calculated values
E_form (uncorrected): -2.73 eV/atom

CIF file:
```
data_Ba2HoTa3O12
_cell_length_a 7.6029
_cell_length_b 7.6029
_cell_length_c 17.0935
_cell_angle_alpha 90.00
_cell_angle_beta 90.00
_cell_angle_gamma 120.00
_space_group_name_H-M_alt 'R -3 m'
_space_group_IT_number 166
_space_group_name_Hall '-R 3 2"'
loop_
_atom_site_label
_atom_site_type_symbol
_atom_site_fract_x
_atom_site_fract_y
_atom_site_fract_z
Ba1 Ba 0.0000 0.0000 0.1281
Ho1 Ho 0.0000 0.0000 0.5000
Ta1 Ta 0.0000 0.5000 0.0000
O1 O 0.0041 0.5020 0.1167
O2 O 0.0830 0.5415 0.3318
```



[4]
Material: Ce2TmSi2Pt7
Method: DFT, PBE-GGA
State: relaxed

Calculated values
E_form (uncorrected): -1.11 eV/atom

CIF file:
```
data_Ce2TmSi2Pt7
_cell_length_a 5.798
_cell_length_b 5.719
_cell_length_c 13.837
_cell_angle_alpha 90.00
_cell_angle_beta 97.90
_cell_angle_gamma 90.00
_space_group_name_H-M_alt 'C 1 2/m 1'
_space_group_IT_number 12
loop_
_space_group_symop_operation_xyz
'x,y,z'
'-x,-y,-z'
'-x,y,-z'
'x,-y,z'
'x+1/2,y+1/2,z'
'-x+1/2,-y+1/2,-z'
'-x+1/2,y+1/2,-z'
'x+1/2,-y+1/2,z'
loop_
_atom_site_label
_atom_site_type_symbol
_atom_site_fract_x
_atom_site_fract_y
_atom_site_fract_z
Ce1 Ce 0.107 0.000 0.355
Tm1 Tm 0.000 0.000 0.000
Si1 Si 0.084 0.500 0.250
Pt1 Pt 0.000 0.500 0.000
Pt2 Pt 0.118 0.500 0.423
Pt3 Pt 0.197 0.250 0.843
```



[5]
Material: PmErAl2
Method: DFT, PBE-GGA
State: relaxed

Calculated values
ΔE to the lowest computed polymorph: 11 meV/atom
energy relative to the elements: -0.3748 eV per atom

CIF file:
```
data_PmErAl2
_cell_length_a 7.274
_cell_length_b 7.274
_cell_length_c 7.274
_cell_angle_alpha 90.00
_cell_angle_beta 90.00
_cell_angle_gamma 90.00
_space_group_name_H-M_alt 'F m -3 m'
_space_group_IT_number 225
_space_group_name_Hall '-F 4 2 3'
loop_
_atom_site_label
_atom_site_type_symbol
_atom_site_fract_x
_atom_site_fract_y
_atom_site_fract_z
Pm1 Pm 0.000 0.000 0.000
Er1 Er 0.000 0.000 0.500
Al1 Al 0.250 0.250 0.250
```



[6]
Material: SmEuHoLu
Method: DFT, PBE-GGA
State: relaxed

Calculated values
energy relative to the elements: 0.1574 eV per atom

CIF file:
```
data_SmEuHoLu
_cell_length_a 8.104
_cell_length_b 8.104
_cell_length_c 8.104
_cell_angle_alpha 90.00
_cell_angle_beta 90.00
_cell_angle_gamma 90.00
_space_group_name_H-M_alt 'F -4 3 m'
_space_group_IT_number 216
_space_group_name_Hall 'F -4 2 3'
loop_
_atom_site_label
_atom_site_type_symbol
_atom_site_fract_x
_atom_site_fract_y
_atom_site_fract_z
Sm1 Sm 0.000 0.000 0.000
Eu1 Eu 0.250 0.250 0.750
Ho1 Ho 0.000 0.000 0.500
Lu1 Lu 0.250 0.250 0.250
```



[7]
Material: PmYTlBi
Method: DFT, PBE-GGA
State: relaxed

Calculated values
energy relative to the elements: -0.4525 eV per atom

CIF file:
```
data_PmYTlBi
_cell_length_a 7.781
_cell_length_b 7.781
_cell_length_c 7.781
_cell_angle_alpha 90.00
_cell_angle_beta 90.00
_cell_angle_gamma 90.00
_space_group_name_H-M_alt 'F -4 3 m'
_space_group_IT_number 216
_space_group_name_Hall 'F -4 2 3'
loop_
_atom_site_label
_atom_site_type_symbol
_atom_site_fract_x
_atom_site_fract_y
_atom_site_fract_z
Pm1 Pm 0.000 0.000 0.000
Y1 Y 0.000 0.000 0.500
Tl1 Tl 0.250 0.250 0.250
Bi1 Bi 0.250 0.250 0.750
```



[8]
Material: FeBSb2I
Method: DFT, PBE-GGA
State: relaxed

Calculated values
ΔE to the lowest computed polymorph: 0 meV/atom
E_form (uncorrected): 1.20 eV/atom

CIF file:
```
data_FeBSb2I
_cell_length_a 4.872
_cell_length_b 4.872
_cell_length_c 4.825
_cell_angle_alpha 90.00
_cell_angle_beta 90.00
_cell_angle_gamma 90.00
_space_group_name_H-M_alt 'P 4/m m m'
_space_group_IT_number 123
_space_group_name_Hall '-P 4 2'
loop_
_atom_site_label
_atom_site_type_symbol
_atom_site_fract_x
_atom_site_fract_y
_atom_site_fract_z
Fe1 Fe 0.000 0.000 0.000
B1 B 0.500 0.500 0.500
Sb1 Sb 0.000 0.500 0.500
I1 I 0.500 0.500 0.000
```



[9]
Material: HfBNF2
Method: DFT, PBE-GGA
State: relaxed

Calculated values
ΔE to the lowest computed polymorph: 0 meV/atom
E_form (uncorrected): -1.09 eV/atom

CIF file:
```
data_HfBNF2
_cell_length_a 4.473
_cell_length_b 4.473
_cell_length_c 2.696
_cell_angle_alpha 90.00
_cell_angle_beta 90.00
_cell_angle_gamma 90.00
_space_group_name_H-M_alt 'P 4/m m m'
_space_group_IT_number 123
_space_group_name_Hall '-P 4 2'
loop_
_atom_site_label
_atom_site_type_symbol
_atom_site_fract_x
_atom_site_fract_y
_atom_site_fract_z
Hf1 Hf 0.000 0.000 0.000
B1 B 0.500 0.500 0.500
N1 N 0.500 0.500 0.000
F1 F 0.000 0.500 0.500
```



[10]
Material: Li5Cd2In2
Method: DFT, PBE-GGA
State: relaxed

Calculated values
ΔE to the lowest computed polymorph: 11 meV/atom
energy relative to the elements: -0.2592 eV per atom

CIF file:
```
data_Li5Cd2In2
_cell_length_a 4.769
_cell_length_b 10.080
_cell_length_c 14.075
_cell_angle_alpha 90.00
_cell_angle_beta 90.00
_cell_angle_gamma 90.00
_space_group_name_H-M_alt 'F m m m'
_space_group_IT_number 69
_space_group_name_Hall '-F 2 2'
loop_
_atom_site_label
_atom_site_type_symbol
_atom_site_fract_x
_atom_site_fract_y
_atom_site_fract_z
Li1 Li 0.000 0.000 0.000
Li2 Li 0.000 0.176 0.161
Cd1 Cd 0.000 0.167 0.500
In1 In 0.000 0.000 0.322
```



[11]
Material: Tl2SbP
Method: DFT, PBE-GGA
State: relaxed

Calculated values
ΔE to the lowest computed polymorph: 271 meV/atom
E_form (uncorrected): 0.35 eV/atom

CIF file:
```
data_Tl2SbP
_cell_length_a 7.469
_cell_length_b 7.469
_cell_length_c 7.469
_cell_angle_alpha 90.00
_cell_angle_beta 90.00
_cell_angle_gamma 90.00
_space_group_name_H-M_alt 'F -4 3 m'
_space_group_IT_number 216
_space_group_name_Hall 'F -4 2 3'
loop_
_atom_site_label
_atom_site_type_symbol
_atom_site_fract_x
_atom_site_fract_y
_atom_site_fract_z
Tl1 Tl 0.000 0.000 0.000
Tl2 Tl 0.250 0.250 0.250
Sb1 Sb 0.000 0.000 0.500
P1 P 0.250 0.250 0.750
```



[12]
Material: Ag2H2Pb
Method: DFT, PBE-GGA
State: relaxed

Calculated values
ΔE to the lowest computed polymorph: 283 meV/atom

CIF file:
```
data_Ag2H2Pb
_cell_length_a 7.169
_cell_length_b 7.169
_cell_length_c 3.016
_cell_angle_alpha 90.00
_cell_angle_beta 90.00
_cell_angle_gamma 90.00
_space_group_name_H-M_alt 'P 4/m b m'
_space_group_IT_number 127
_space_group_name_Hall '-P 4 2ab'
loop_
_atom_site_label
_atom_site_type_symbol
_atom_site_fract_x
_atom_site_fract_y
_atom_site_fract_z
Ag1 Ag 0.134 0.366 0.000
H1 H 0.116 0.616 0.500
Pb1 Pb 0.000 0.000 0.500
```



[13]
Material: Er4BiIr
Method: DFT, PBE-GGA
State: relaxed

Calculated values
ΔE to the lowest computed polymorph: 0 meV/atom
energy relative to the elements: -0.6773 eV per atom

CIF file:
```
data_Er4BiIr
_cell_length_a 8.074
_cell_length_b 4.107
_cell_length_c 19.297
_cell_angle_alpha 90.00
_cell_angle_beta 90.00
_cell_angle_gamma 90.00
_space_group_name_H-M_alt 'P n m a'
_space_group_IT_number 62
loop_
_space_group_symop_operation_xyz
'x,y,z'
'-x,-y,-z'
'-x+1/2,-y,z+1/2'
'x+1/2,y,-z+1/2'
'x+1/2,-y+1/2,-z+1/2'
'-x+1/2,y+1/2,z+1/2'
'-x,y+1/2,-z'
'x,-y+1/2,z'
loop_
_atom_site_label
_atom_site_type_symbol
_atom_site_fract_x
_atom_site_fract_y
_atom_site_fract_z
Er1 Er 0.003 0.250 0.066
Er2 Er 0.042 0.250 0.787
Er3 Er 0.138 0.250 0.548
Er4 Er 0.144 0.250 0.358
Bi1 Bi 0.237 0.750 0.690
Ir1 Ir 0.249 0.750 0.451
```



[14]
Material: SrTl2Hg10
Method: DFT, PBE-GGA
State: relaxed

Calculated values
energy relative to the elements: -0.0711 eV per atom

CIF file:
```
data_SrTl2Hg10
_cell_length_a 7.249
_cell_length_b 14.113
_cell_length_c 14.822
_cell_angle_alpha 90.00
_cell_angle_beta 90.00
_cell_angle_gamma 90.00
_space_group_name_H-M_alt 'F m m m'
_space_group_IT_number 69
_space_group_name_Hall '-F 2 2'
loop_
_atom_site_label
_atom_site_type_symbol
_atom_site_fract_x
_atom_site_fract_y
_atom_site_fract_z
Sr1 Sr 0.000 0.000 0.000
Tl1 Tl 0.250 0.000 0.250
Hg1 Hg 0.000 0.109 0.396
Hg2 Hg 0.000 0.176 0.170
Hg3 Hg 0.250 0.250 0.000
```



[15]
Material: ScNbAl2O8
Method: DFT, PBE-GGA
State: relaxed

Calculated values
E_form (uncorrected): -2.45 eV/atom

CIF file:
```
data_ScNbAl2O8
_cell_length_a 6.601
_cell_length_b 6.601
_cell_length_c 6.355
_cell_angle_alpha 90.00
_cell_angle_beta 90.00
_cell_angle_gamma 90.00
_space_group_name_H-M_alt 'I -4 m 2'
_space_group_IT_number 119
_space_group_name_Hall 'I -4 -2'
loop_
_atom_site_label
_atom_site_type_symbol
_atom_site_fract_x
_atom_site_fract_y
_atom_site_fract_z
Sc1 Sc 0.000 0.000 0.000
Nb1 Nb 0.000 0.500 0.750
Al1 Al 0.000 0.000 0.500
Al2 Al 0.000 0.500 0.250
O1 O 0.000 0.204 0.676
O2 O 0.000 0.311 0.055
```



[16]
Material: PrDy2In
Method: DFT, PBE-GGA
State: relaxed

Calculated values
ΔE to the lowest computed polymorph: 23 meV/atom
energy relative to the elements: -0.2387 eV per atom

CIF file:
```
data_PrDy2In
_cell_length_a 3.626
_cell_length_b 3.626
_cell_length_c 9.255
_cell_angle_alpha 90.00
_cell_angle_beta 90.00
_cell_angle_gamma 90.00
_space_group_name_H-M_alt 'P 4/m m m'
_space_group_IT_number 123
_space_group_name_Hall '-P 4 2'
loop_
_atom_site_label
_atom_site_type_symbol
_atom_site_fract_x
_atom_site_fract_y
_atom_site_fract_z
Pr1 Pr 0.000 0.000 0.000
Dy1 Dy 0.500 0.500 0.279
In1 In 0.000 0.000 0.500
```